{"formula": "Zr2UAg2Se6", "functional": "PBE-GGA", "state": "optimized geometry", "lattice": [[-5.9873, 1.6130, 2.8292], [3.7716, -5.0166, 2.6575], [3.4918, 5.0503, 3.4599]], "species": ["Se", "Ag", "Se", "U", "Se", "Se", "Ag", "Zr", "Zr", "Se", "Se"], "fractional_positions": [[0.0270, 0.3825, 0.7258], [0.8810, 0.1190, 0.0000], [0.3825, 0.0270, 0.7258], [0.0000, 0.0000, 0.5000], [0.6846, 0.6846, 0.7366], [0.3154, 0.3154, 0.2634], [0.1190, 0.8810, 0.0000], [0.6593, 0.3407, 0.5000], [0.3407, 0.6593, 0.5000], [0.6175, 0.9730, 0.2742], [0.9730, 0.6175, 0.2742]], "spacegroup": "C2/m (12)", "total_energy_ev_per_cell": -65.00, "crystal_system": "monoclinic", "formation_energy_uncorrected_ev_per_fu": -10.01}


{"formula": "CrP", "functional": "PBE-GGA", "state": "optimized geometry", "lattice": [[-0.7783, 2.5178, 7.7895], [-6.6923, -1.1424, -4.6399], [-0.1569, -3.1419, 0.9999]], "species": ["Cr", "P", "P", "Cr", "P", "P", "Cr", "Cr", "Cr", "P", "P", "Cr"], "fractional_positions": [[0.6408, 0.5123, 0.2500], [0.0419, 0.3343, 0.7500], [0.6657, 0.7076, 0.7500], [0.5123, 0.8715, 0.7500], [0.2924, 0.9581, 0.7500], [0.3343, 0.2924, 0.2500], [0.4877, 0.1285, 0.2500], [0.1285, 0.6408, 0.7500], [0.8715, 0.3592, 0.2500], [0.9581, 0.6657, 0.2500], [0.7076, 0.0419, 0.2500], [0.3592, 0.4877, 0.7500]], "spacegroup": "P6_3/m (176)", "total_energy_ev_per_cell": -90.96, "crystal_system": "hexagonal", "formation_energy_ev_per_atom": -0.063}


{"formula": "PbBr", "functional": "PBE-GGA", "state": "optimized geometry", "lattice": [[5.0664, 0.0000, 0.0000], [2.5332, 4.3876, 0.0000], [2.5332, 1.4625, 4.1367]], "species": ["Br", "Pb"], "fractional_positions": [[0.0000, 0.0000, 0.0000], [0.7500, 0.7500, 0.7500]], "spacegroup": "F-43m (216)", "total_energy_ev_per_cell": -5.53, "crystal_system": "cubic", "formation_energy_uncorrected_ev_per_fu": -0.15}


{"formula": "LiGaSe2", "functional": "PBE-GGA", "state": "optimized geometry", "lattice": [[-6.6357, -2.3903, 2.2419], [3.2688, -5.1889, 4.1428], [-1.5832, -1.7735, 5.6385]], "species": ["Li", "Ga", "Li", "Ga", "Se", "Se", "Se", "Se"], "fractional_positions": [[0.2500, 0.2500, 0.5000], [0.7500, 0.2500, 0.5000], [0.7500, 0.7500, 0.5000], [0.2500, 0.7500, 0.5000], [0.8209, 0.3209, 0.0000], [0.6791, 0.8209, 0.0000], [0.1791, 0.6791, 0.0000], [0.3209, 0.1791, 0.0000]], "spacegroup": "I4/mcm (140)", "total_energy_ev_per_cell": -30.00, "crystal_system": "tetragonal", "formation_energy_uncorrected_ev_per_fu": -3.09}


{"formula": "SrZrReSi2", "functional": "PBE-GGA", "state": "optimized geometry", "lattice": [[4.9274, 0.0000, 0.0000], [0.0000, 5.0406, 0.0000], [0.0000, 0.0000, 4.9274]], "species": ["Zr", "Sr", "Si", "Re", "Si"], "fractional_positions": [[0.0000, 0.5000, 0.0000], [0.0000, 0.0000, 0.0000], [0.0000, 0.0000, 0.5000], [0.5000, 0.5000, 0.5000], [0.5000, 0.0000, 0.0000]], "spacegroup": "P4/mmm (123)", "total_energy_ev_per_cell": -19.72, "crystal_system": "tetragonal", "formation_energy_uncorrected_ev_per_fu": 13.80}


{"formula": "NaMnBi2", "functional": "PBE-GGA", "state": "optimized geometry", "lattice": [[6.7369, 0.0000, 0.0000], [0.0000, 6.7369, 0.0000], [3.3684, 3.3684, 6.4524]], "species": ["Bi", "Na", "Bi", "Bi", "Bi", "Mn", "Mn", "Na"], "fractional_positions": [[0.7446, 0.1250, 0.2500], [0.5000, 0.5000, 0.0000], [0.3750, 0.2554, 0.7500], [0.8750, 0.9946, 0.7500], [0.0054, 0.6250, 0.2500], [0.0000, 0.0000, 0.0000], [0.7500, 0.2500, 0.5000], [0.2500, 0.7500, 0.5000]], "spacegroup": "I-42d (122)", "total_energy_ev_per_cell": -32.15, "polymorph_energy_mev_per_atom": 518.5, "crystal_system": "tetragonal", "formation_energy_ev_per_atom": 0.544}